# 1
A relaxed structure of YTmGaGe. Source: Alexandria via LeMat-Bulk, functional GGA-PBE.

```
data_YTmGaGe
_space_group_name_H-M_alt 'F -4 3 m'
_space_group_IT_number 216
_space_group_name_Hall 'F -4 2 3'
_cell_length_a 7.1170
_cell_length_b 7.1170
_cell_length_c 7.1170
_cell_angle_alpha 90.00
_cell_angle_beta 90.00
_cell_angle_gamma 90.00
loop_
_atom_site_label
_atom_site_fract_x
_atom_site_fract_y
_atom_site_fract_z
Y1 0.0000 0.0000 0.0000
Tm1 0.0000 0.0000 0.5000
Ga1 0.2500 0.2500 0.2500
Ge1 0.2500 0.2500 0.7500
```

Summary:
**Formation energy**: -572 meV/atom
**Energy relative to the lowest polymorph listed for this composition**: 86.7 kJ/mol of formula units



# 2
A relaxed structure of TmZnGaGe. Source: Alexandria via LeMat-Bulk, functional GGA-PBE.

```
data_TmZnGaGe
_space_group_name_H-M_alt 'P m m m'
_space_group_IT_number 47
_cell_length_a 4.1172
_cell_length_b 4.2034
_cell_length_c 4.3492
_cell_angle_alpha 90.00
_cell_angle_beta 90.00
_cell_angle_gamma 90.00
loop_
_space_group_symop_operation_xyz
'x,y,z'
'-x,-y,-z'
'-x,-y,z'
'x,y,-z'
'x,-y,-z'
'-x,y,z'
'-x,y,-z'
'x,-y,z'
loop_
_atom_site_label
_atom_site_fract_x
_atom_site_fract_y
_atom_site_fract_z
Tm1 0.0000 0.0000 0.0000
Zn1 0.0000 0.5000 0.5000
Ga1 0.5000 0.0000 0.5000
Ge1 0.5000 0.5000 0.0000
```

Summary:
**Formation energy**: -452 meV/atom



# 3
A relaxed structure of UGa2Ge. Source: Alexandria via LeMat-Bulk, functional GGA-PBE.

```
data_UGa2Ge
_space_group_name_H-M_alt 'R -3 m'
_space_group_IT_number 166
_space_group_name_Hall '-R 3 2"'
_cell_length_a 4.4987
_cell_length_b 4.4987
_cell_length_c 14.0541
_cell_angle_alpha 90.00
_cell_angle_beta 90.00
_cell_angle_gamma 120.00
loop_
_atom_site_label
_atom_site_fract_x
_atom_site_fract_y
_atom_site_fract_z
U1 0.0000 0.0000 0.0000
Ga1 0.0000 0.0000 0.2231
Ge1 0.0000 0.0000 0.5000
```

Summary:
**Formation energy**: 122 meV/atom
**Energy relative to the lowest polymorph listed for this composition**: 158.4 kJ/mol of formula units



# 4
A relaxed structure of U3Ga2Ge3. Source: Alexandria via LeMat-Bulk, functional GGA-PBE.

```
data_U3Ga2Ge3
_space_group_name_H-M_alt 'F m m 2'
_space_group_IT_number 42
_space_group_name_Hall 'F 2 -2'
_cell_length_a 10.8214
_cell_length_b 11.2244
_cell_length_c 10.4308
_cell_angle_alpha 90.00
_cell_angle_beta 90.00
_cell_angle_gamma 90.00
loop_
_atom_site_label
_atom_site_fract_x
_atom_site_fract_y
_atom_site_fract_z
U1 0.0000 0.1451 0.0000
U2 0.0000 0.1501 0.3766
U3 0.1553 0.0000 0.8919
Ga1 0.1363 0.0000 0.5810
Ga2 0.2500 0.2500 0.2199
Ge1 0.0000 0.1590 0.6944
Ge2 0.1489 0.0000 0.1898
Ge3 0.2500 0.2500 0.4706
```

Summary:
**Formation energy**: -116 meV/atom
**Energy relative to the lowest polymorph listed for this composition**: 93.9 kJ/mol of formula units



# 5
A relaxed structure of U2Ga9Ge. Source: Alexandria via LeMat-Bulk, functional GGA-PBE.

```
data_U2Ga9Ge
_space_group_name_H-M_alt 'P 4/m m m'
_space_group_IT_number 123
_space_group_name_Hall '-P 4 2'
_cell_length_a 4.5867
_cell_length_b 4.5867
_cell_length_c 10.9039
_cell_angle_alpha 90.00
_cell_angle_beta 90.00
_cell_angle_gamma 90.00
loop_
_atom_site_label
_atom_site_fract_x
_atom_site_fract_y
_atom_site_fract_z
U1 0.0000 0.0000 0.1813
Ga1 0.0000 0.5000 0.0000
Ga2 0.0000 0.5000 0.3569
Ga3 0.5000 0.5000 0.1726
Ga4 0.5000 0.5000 0.5000
Ge1 0.0000 0.0000 0.5000
```

Summary:
**Formation energy**: -44 meV/atom



# 6
A relaxed structure of UGaGe2. Source: Alexandria via LeMat-Bulk, functional GGA-PBE.

```
data_UGaGe2
_space_group_name_H-M_alt 'P 4/m m m'
_space_group_IT_number 123
_space_group_name_Hall '-P 4 2'
_cell_length_a 3.5751
_cell_length_b 3.5751
_cell_length_c 6.1466
_cell_angle_alpha 90.00
_cell_angle_beta 90.00
_cell_angle_gamma 90.00
loop_
_atom_site_label
_atom_site_fract_x
_atom_site_fract_y
_atom_site_fract_z
U1 0.0000 0.0000 0.0000
Ga1 0.0000 0.0000 0.5000
Ge1 0.5000 0.5000 0.2844
```

Summary:
**Formation energy**: -52 meV/atom
**Energy relative to the lowest polymorph listed for this composition**: 106.8 kJ/mol of formula units



# 7
A relaxed structure of UGa2Ge. Source: Alexandria via LeMat-Bulk, functional GGA-PBE.

```
data_UGa2Ge
_space_group_name_H-M_alt 'P 4/m m m'
_space_group_IT_number 123
_space_group_name_Hall '-P 4 2'
_cell_length_a 4.1670
_cell_length_b 4.1670
_cell_length_c 4.3838
_cell_angle_alpha 90.00
_cell_angle_beta 90.00
_cell_angle_gamma 90.00
loop_
_atom_site_label
_atom_site_fract_x
_atom_site_fract_y
_atom_site_fract_z
U1 0.0000 0.0000 0.0000
Ga1 0.0000 0.5000 0.5000
Ge1 0.5000 0.5000 0.0000
```

Summary:
**Formation energy**: -289 meV/atom
**Energy relative to the lowest polymorph listed for this composition**: 0.0 kJ/mol of formula units



# 8
A relaxed structure of U3Ga2Ge3. Source: Alexandria via LeMat-Bulk, functional GGA-PBE.

```
data_U3Ga2Ge3
_space_group_name_H-M_alt 'I 4 c m'
_space_group_IT_number 108
_space_group_name_Hall 'I 4 -2c'
_cell_length_a 7.7376
_cell_length_b 7.7376
_cell_length_c 11.1099
_cell_angle_alpha 90.00
_cell_angle_beta 90.00
_cell_angle_gamma 90.00
loop_
_atom_site_label
_atom_site_fract_x
_atom_site_fract_y
_atom_site_fract_z
U1 0.0000 0.0000 0.0000
U2 0.1539 0.3461 0.2719
Ga1 0.1419 0.3581 0.5862
Ge1 0.0000 0.0000 0.2501
Ge2 0.1483 0.3517 0.9566
```

Summary:
**Formation energy**: -238 meV/atom
**Energy relative to the lowest polymorph listed for this composition**: 0.0 kJ/mol of formula units



Question: What is the formation energy in the seventh record?
Answer: -289 meV/atom



Question: Among the records above, which one has the lowest formation energy?
Answer: YTmGaGe



Question: Which of these has the highest formation energy?
Answer: number 3